No. 1
The following is a PBE calculation of a relaxed structure of TbGa2Au3, from Alexandria via LeMat-Bulk.

The structure in POSCAR format:
```
TbGa2Au3
1.0
8.5371 -2.1046 0.0000
8.5371 2.1046 0.0000
-3.1083 0.0000 9.9839
Tb Ga Au
3 6 9
direct
0.0000 0.0000 0.0000
0.1527 0.1527 0.6902
0.8473 0.8473 0.3098
0.1991 0.1991 0.1220
0.3599 0.3599 0.5506
0.4648 0.4648 0.2250
0.5352 0.5352 0.7750
0.6401 0.6401 0.4494
0.8009 0.8009 0.8780
0.0426 0.0426 0.3337
0.2221 0.2221 0.3762
0.3283 0.3283 0.0500
0.3878 0.3878 0.8234
0.5000 0.5000 0.5000
0.6122 0.6122 0.1766
0.6717 0.6717 0.9500
0.7779 0.7779 0.6238
0.9574 0.9574 0.6663
```

Calculated values
- space group = C2/m, No. 12
- formation enthalpy at 0 K (kJ/mol of formula units) = -303
- total magnetic moment (μB per formula unit) = 0.0

No. 2
The following is a PBE calculation of a relaxed structure of TbGa2Au7, from Alexandria via LeMat-Bulk.

The structure in POSCAR format:
```
TbGa2Au7
1.0
3.7682 -6.4577 0.0000
3.7682 6.4577 0.0000
0.0000 0.0000 4.7060
Tb Ga Au
1 2 7
direct
0.0000 0.0000 0.0000
0.2995 0.7005 0.5000
0.7005 0.2995 0.5000
0.0704 0.2999 0.5000
0.2239 0.7761 0.0000
0.2999 0.0704 0.5000
0.5000 0.5000 0.5000
0.7001 0.9296 0.5000
0.7761 0.2239 0.0000
0.9296 0.7001 0.5000
```

Calculated values
- space group = Cmmm, No. 65
- formation enthalpy at 0 K (kJ/mol of formula units) = -226
- total magnetic moment (μB per formula unit) = 0.0

No. 3
The following is a PBE calculation of a relaxed structure of Tb2Ga8Au, from Alexandria via LeMat-Bulk.

The structure in POSCAR format:
```
Tb2Ga8Au
1.0
4.3940 0.0000 0.0000
0.0000 4.3940 0.0000
0.0000 0.0000 11.2628
Tb Ga Au
2 8 1
direct
0.0000 0.0000 0.1876
0.0000 0.0000 0.8124
0.0000 0.5000 0.0000
0.0000 0.5000 0.3664
0.0000 0.5000 0.6336
0.5000 0.0000 0.0000
0.5000 0.0000 0.3664
0.5000 0.0000 0.6336
0.5000 0.5000 0.1908
0.5000 0.5000 0.8092
0.0000 0.0000 0.5000
```

Calculated values
- space group = P4/mmm, No. 123
- formation enthalpy at 0 K (kJ/mol of formula units) = -453
- total magnetic moment (μB per formula unit) = 0.0

No. 4
The following is a PBE calculation of a relaxed structure of TbGa3Au2, from Alexandria via LeMat-Bulk.

The structure in POSCAR format:
```
TbGa3Au2
1.0
6.2291 0.0000 0.0000
0.0000 6.1887 0.0000
-0.8852 0.0000 6.2277
Tb Ga Au
2 6 4
direct
0.1522 0.2500 0.1483
0.8478 0.7500 0.8517
0.0759 0.7500 0.3615
0.3617 0.7500 0.0785
0.4947 0.7500 0.4927
0.5053 0.2500 0.5073
0.6383 0.2500 0.9215
0.9241 0.2500 0.6385
0.2557 0.5018 0.7461
0.2557 0.9982 0.7461
0.7443 0.0018 0.2539
0.7443 0.4982 0.2539
```

Calculated values
- space group = P2_1/m, No. 11
- offset from the most stable computed form (meV per atom) = 92
- formation enthalpy at 0 K (kJ/mol of formula units) = -242
- total magnetic moment (μB per formula unit) = 0.0

formation enthalpy at 0 K of number 1 (TbGa2Au3)?
-303 kJ/mol of formula units

formation enthalpy at 0 K of number 4 (TbGa3Au2)?
-242 kJ/mol of formula units

What is the formula in the first record?
TbGa2Au3